1.
DFT (PBE-GGA) results for a geometry-optimized MgZn2Ag structure.

Unit cell a=3.187 b=3.448 c=6.135 alpha=90.00 beta=90.00 gamma=90.00
Fractional coordinates of all 4 atoms:
Mg 0.000 0.000 0.000
Zn 0.000 0.000 0.492
Zn 0.500 0.500 0.266
Ag 0.500 0.500 0.738

Output
total magnetic moment: 0.0 μB/cell
mass density: 6.5 g cm⁻³
energy relative to the elements: -0.088 eV per atom


2.
DFT (PBE-GGA) results for a geometry-optimized Mg5ZnAg2 structure.

Unit cell a=5.946 b=11.344 c=4.576 alpha=90.00 beta=90.00 gamma=90.00
Fractional coordinates of all 16 atoms:
Mg 0.000 0.000 0.000
Mg 0.121 0.264 0.000
Mg 0.162 0.613 0.500
Mg 0.338 0.113 0.500
Mg 0.379 0.764 0.000
Mg 0.500 0.500 0.000
Mg 0.621 0.236 0.000
Mg 0.662 0.887 0.500
Mg 0.838 0.387 0.500
Mg 0.879 0.736 0.000
Zn 0.000 0.500 0.000
Zn 0.500 0.000 0.000
Ag 0.147 0.869 0.500
Ag 0.353 0.369 0.500
Ag 0.647 0.631 0.500
Ag 0.853 0.131 0.500

Output
total magnetic moment: 0.0 μB/cell
mass density: 4.3 g cm⁻³
energy relative to the elements: -0.134 eV per atom


3.
DFT (PBE-GGA) results for a geometry-optimized Mg2ZnAg structure.

Unit cell a=4.659 b=4.659 c=4.659 alpha=60.00 beta=60.00 gamma=60.00
Fractional coordinates of all 4 atoms:
Mg 0.000 0.000 0.000
Mg 0.250 0.250 0.250
Zn 0.750 0.750 0.750
Ag 0.500 0.500 0.500

Output
total magnetic moment: 0.0 μB/cell
mass density: 5.2 g cm⁻³
energy relative to the elements: -0.073 eV per atom


4.
DFT (PBE-GGA) results for a geometry-optimized Mg2ZnAg2 structure.

Unit cell a=5.443 b=5.443 c=8.357 alpha=104.40 beta=104.40 gamma=49.44
Fractional coordinates of all 10 atoms:
Mg 0.050 0.050 0.351
Mg 0.161 0.161 0.049
Mg 0.839 0.839 0.951
Mg 0.950 0.950 0.649
Zn 0.255 0.255 0.730
Zn 0.745 0.745 0.270
Ag 0.349 0.349 0.436
Ag 0.461 0.461 0.149
Ag 0.539 0.539 0.851
Ag 0.651 0.651 0.564

Output
total magnetic moment: 0.0 μB/cell
energy above the most stable polymorph in this dataset: 0 meV/atom
mass density: 6.1 g cm⁻³
energy relative to the elements: -0.131 eV per atom


5.
DFT (PBE-GGA) results for a geometry-optimized MgZn9Ag2 structure.

Unit cell a=9.045 b=9.045 c=9.045 alpha=32.69 beta=32.69 gamma=32.69
Fractional coordinates of all 12 atoms:
Mg 0.000 0.000 0.000
Zn 0.082 0.587 0.587
Zn 0.333 0.333 0.333
Zn 0.413 0.413 0.918
Zn 0.413 0.918 0.413
Zn 0.500 0.500 0.500
Zn 0.587 0.082 0.587
Zn 0.587 0.587 0.082
Zn 0.667 0.667 0.667
Zn 0.918 0.413 0.413
Ag 0.143 0.143 0.143
Ag 0.857 0.857 0.857

Output
total magnetic moment: 0.0 μB/cell
energy above the most stable polymorph in this dataset: 0 meV/atom
mass density: 7.2 g cm⁻³
energy relative to the elements: -0.029 eV per atom


6.
DFT (PBE-GGA) results for a geometry-optimized MgZnAg4 structure.

Unit cell a=9.427 b=9.427 c=5.674 alpha=90.00 beta=90.00 gamma=150.76
Fractional coordinates of all 12 atoms:
Mg 0.152 0.848 0.500
Mg 0.848 0.152 0.000
Zn 0.423 0.577 0.497
Zn 0.577 0.423 0.997
Ag 0.154 0.846 0.000
Ag 0.296 0.704 0.247
Ag 0.297 0.703 0.751
Ag 0.437 0.563 0.998
Ag 0.563 0.437 0.498
Ag 0.703 0.297 0.251
Ag 0.704 0.296 0.747
Ag 0.846 0.154 0.500

Output
total magnetic moment: 0.0 μB/cell
energy above the most stable polymorph in this dataset: 123 meV/atom
mass density: 7.0 g cm⁻³
energy relative to the elements: 0.060 eV per atom